Material: ScInIr3
Method: DFT, PBE
State: optimized geometry

a = 4.706 Å, b = 4.706 Å, c = 4.706 Å
α = 90.00°, β = 90.00°, γ = 90.00°
Fractional positions:
1 Sc 0.000 0.000 0.000
2 In 0.500 0.500 0.500
3 Ir 0.000 0.000 0.500
4 Ir 0.000 0.500 0.000
5 Ir 0.500 0.000 0.000

Results
Energy relative to the lowest polymorph listed for this composition, meV per atom: 0
Final energy, Ha/atom: -0.2188
Calculated formation energy, meV/atom: 1176
Magnetic moment, μB/cell: 0.00
ρ, kg/m³: 11731